Density functional theory data (PBE) for BaMgReTc after structural relaxation.

Cell lengths 4.8698, 4.8698, 4.8698 Å; angles 60.00, 60.00, 60.00 degrees
Closest atoms and distances in Å follow each position.
Fractional coordinates of all 4 atoms:
Ba (0.0000, 0.0000, 0.0000)  4 Tc 2.98, 4 Mg 2.98
Mg (0.2500, 0.2500, 0.2500)  4 Re 2.98, 4 Ba 2.98
Re (0.5000, 0.5000, 0.5000)  4 Tc 2.98, 4 Mg 2.98
Tc (0.7500, 0.7500, 0.7500)  4 Re 2.98, 4 Ba 2.98

Its total DFT energy (no corrections) is -0.3987 Ry/atom. As for the volume: 20.42 Å³ per atom. Its space group is No. 216. The offset from the most stable computed form comes out at 7.1 meV per atom.

Density functional theory data (PBE) for NiAg2S3 after structural relaxation.

Cell lengths 6.7552, 6.7552, 6.6383 Å; angles 98.37, 98.37, 121.38 degrees
Closest atoms and distances in Å follow each position.
Fractional coordinates of all 12 atoms:
Ni (0.0780, 0.9220, 0.5000)  4 S 2.14-2.18
Ni (0.9220, 0.0780, 0.0000)  4 S 2.14-2.18
Ag (0.2502, 0.7590, 0.9995)  4 S 2.47-2.54
Ag (0.4013, 0.5736, 0.5032)  4 S 2.49-2.51
Ag (0.5736, 0.4013, 0.0032)  4 S 2.49-2.51
Ag (0.7590, 0.2502, 0.4995)  4 S 2.47-2.54
S (0.0332, 0.1615, 0.3409)  2 Ni 2.17-2.18
S (0.1615, 0.0332, 0.8409)  2 Ni 2.17-2.18
S (0.3416, 0.8814, 0.3918)  1 Ni 2.14
S (0.5776, 0.7422, 0.8909)  1 Ni 2.15
S (0.7422, 0.5776, 0.3909)  1 Ni 2.15
S (0.8814, 0.3416, 0.8918)  1 Ni 2.14

Its total DFT energy (no corrections) is -0.2921 Ry/atom. As for the volume: 20.58 Å³ per atom. Its space group is No. 9.

Density functional theory data (PBE) for ErW2 after structural relaxation.

Cell lengths 11.3615, 11.3615, 11.3615 Å; angles 25.79, 25.79, 25.79 degrees
Closest atoms and distances in Å follow each position.
Fractional coordinates of all 6 atoms:
Er (0.0898, 0.0898, 0.0898)  4 W 2.92-2.96
Er (0.9102, 0.9102, 0.9102)  4 W 2.92-2.96
W (0.0000, 0.0000, 0.0000)  2 Er 2.96
W (0.0000, 0.0000, 0.5000)  4 W 2.54
W (0.0000, 0.5000, 0.0000)  4 W 2.54
W (0.5000, 0.0000, 0.0000)  4 W 2.54

Its total DFT energy (no corrections) is -0.5569 Ry/atom. As for the volume: 40.76 Å³ per atom. Its space group is No. 166. Its energy relative to the elements is 2.584 eV/atom.

Density functional theory data (PBE) for TmZrPb after structural relaxation.

Cell lengths 4.9603, 4.9603, 4.9603 Å; angles 60.00, 60.00, 60.00 degrees
Closest atoms and distances in Å follow each position.
Fractional coordinates of all 3 atoms:
Tm (0.0000, 0.0000, 0.0000)  4 Pb 3.04
Zr (0.5000, 0.5000, 0.5000)  4 Pb 3.04
Pb (0.2500, 0.2500, 0.2500)  4 Zr 3.04, 4 Tm 3.04

Its total DFT energy (no corrections) is -0.4024 Ry/atom. As for the volume: 28.77 Å³ per atom. Its space group is No. 216.

Density functional theory data (PBE) for Hf2Zr4In3N3 after structural relaxation.

Cell lengths 5.6818, 5.6818, 15.2619 Å; angles 100.72, 100.72, 60.02 degrees
Closest atoms and distances in Å follow each position.
Fractional coordinates of all 24 atoms:
Hf (0.0272, 0.8583, 0.5821)  3 N 2.22-2.24
Hf (0.1417, 0.9728, 0.9179)  3 N 2.22-2.24
Hf (0.8583, 0.0272, 0.0821)  3 N 2.22-2.24
Hf (0.9728, 0.1417, 0.4179)  3 N 2.22-2.24
Zr (0.1951, 0.3643, 0.0851)  3 N 2.29-2.30
Zr (0.3077, 0.4688, 0.4150)  3 N 2.28-2.30
Zr (0.3643, 0.1951, 0.5851)  3 N 2.29-2.30
Zr (0.4688, 0.3077, 0.9150)  3 N 2.28-2.30
Zr (0.5312, 0.6923, 0.0850)  3 N 2.28-2.30
Zr (0.6357, 0.8049, 0.4149)  3 N 2.29-2.30
Zr (0.6923, 0.5312, 0.5850)  3 N 2.28-2.30
Zr (0.8049, 0.6357, 0.9149)  3 N 2.29-2.30
In (0.0824, 0.2449, 0.7492)  4 Zr 3.11-3.12, 2 Hf 3.12-3.13, 6 In 3.23-3.31
In (0.2449, 0.0824, 0.2492)  4 Zr 3.11-3.12, 2 Hf 3.12-3.13, 6 In 3.23-3.31
In (0.4103, 0.5897, 0.7500)  4 Zr 3.11, 2 Hf 3.11, 6 In 3.23-3.31
In (0.5897, 0.4103, 0.2500)  4 Zr 3.11, 2 Hf 3.11, 6 In 3.23-3.31
In (0.7551, 0.9176, 0.7508)  4 Zr 3.11-3.12, 2 Hf 3.12-3.13, 6 In 3.23-3.31
In (0.9176, 0.7551, 0.2508)  4 Zr 3.11-3.12, 2 Hf 3.12-3.13, 6 In 3.23-3.31
N (0.0000, 0.5000, 0.5000)  2 Hf 2.24, 4 Zr 2.28-2.29
N (0.1614, 0.6774, 0.0000)  2 Hf 2.22, 4 Zr 2.29-2.30
N (0.3226, 0.8386, 0.5000)  2 Hf 2.22, 4 Zr 2.29-2.30
N (0.5000, 0.0000, 0.0000)  2 Hf 2.24, 4 Zr 2.28-2.29
N (0.6774, 0.1614, 0.5000)  2 Hf 2.22, 4 Zr 2.29-2.30
N (0.8386, 0.3226, 0.0000)  2 Hf 2.22, 4 Zr 2.29-2.30

Its total DFT energy (no corrections) is -0.6125 Ry/atom. As for the volume: 17.37 Å³ per atom. Its space group is No. 15.

Density functional theory data (PBE) for Tc after structural relaxation.

Cell lengths 2.7419, 2.7419, 2.7419 Å; angles 120.29, 120.29, 89.50 degrees
Closest atoms and distances in Å follow each position.
Fractional coordinates of all 1 atoms:
Tc (0.0000, 0.0000, 0.0000)  12 Tc 2.73-2.74

Its total DFT energy (no corrections) is -0.7564 Ry/atom. As for the volume: 14.51 Å³ per atom. Its space group is No. 139. The offset from the most stable computed form comes out at 69.7 meV per atom. Its energy relative to the elements is 0.070 eV/atom.

Density functional theory data (PBE) for MgScU after structural relaxation.

Cell lengths 4.9844, 4.9844, 4.9844 Å; angles 60.00, 60.00, 60.00 degrees
Closest atoms and distances in Å follow each position.
Fractional coordinates of all 3 atoms:
Mg (0.0000, 0.0000, 0.0000)  4 Sc 3.05, 4 U 3.05
Sc (0.7500, 0.7500, 0.7500)  4 Mg 3.05
U (0.2500, 0.2500, 0.2500)  4 Mg 3.05

Its total DFT energy (no corrections) is -0.3867 Ry/atom. As for the volume: 29.19 Å³ per atom. Its space group is No. 216. The offset from the most stable computed form comes out at 0.0 meV per atom.

Density functional theory data (PBE) for HfBeCoBi after structural relaxation.

Cell lengths 4.5900, 4.5900, 4.5900 Å; angles 60.00, 60.00, 60.00 degrees
Closest atoms and distances in Å follow each position.
Fractional coordinates of all 4 atoms:
Hf (0.0000, 0.0000, 0.0000)  4 Bi 2.81, 4 Be 2.81
Be (0.7500, 0.7500, 0.7500)  4 Co 2.81, 4 Hf 2.81
Co (0.5000, 0.5000, 0.5000)  4 Be 2.81, 4 Bi 2.81
Bi (0.2500, 0.2500, 0.2500)  4 Hf 2.81, 4 Co 2.81

Its total DFT energy (no corrections) is -0.4180 Ry/atom. As for the volume: 17.10 Å³ per atom. Its space group is No. 216. The offset from the most stable computed form comes out at 268.4 meV per atom.

Density functional theory data (PBE) for Cu2Ag after structural relaxation.

Cell lengths 4.6335, 4.6335, 8.0069 Å; angles 105.79, 105.79, 49.54 degrees
Closest atoms and distances in Å follow each position.
Fractional coordinates of all 9 atoms:
Cu (0.0104, 0.0104, 0.3489)  8 Cu 2.48-2.76, 4 Ag 2.67-2.77
Cu (0.3394, 0.3394, 0.1200)  5 Cu 2.59-2.83, 7 Ag 2.68-2.79
Cu (0.3427, 0.3427, 0.4446)  9 Cu 2.53-2.80, 3 Ag 2.64-2.67
Cu (0.6573, 0.6573, 0.5554)  9 Cu 2.53-2.80, 3 Ag 2.64-2.67
Cu (0.6606, 0.6606, 0.8800)  5 Cu 2.59-2.83, 7 Ag 2.68-2.79
Cu (0.9896, 0.9896, 0.6511)  8 Cu 2.48-2.76, 4 Ag 2.67-2.77
Ag (0.0000, 0.0000, 0.0000)  8 Cu 2.70-2.77, 4 Ag 2.80
Ag (0.3217, 0.3217, 0.7670)  10 Cu 2.64-2.79, 2 Ag 2.80
Ag (0.6783, 0.6783, 0.2330)  10 Cu 2.64-2.79, 2 Ag 2.80

Its total DFT energy (no corrections) is -0.2448 Ry/atom. As for the volume: 13.86 Å³ per atom. Its space group is No. 12. The offset from the most stable computed form comes out at 42.5 meV per atom. Its energy relative to the elements is 0.088 eV/atom.

Density functional theory data (PBE) for Hf2Ta4Sb3C3 after structural relaxation.

Cell lengths 5.8955, 5.8955, 13.5378 Å; angles 102.55, 102.55, 60.10 degrees
Closest atoms and distances in Å follow each position.
Fractional coordinates of all 24 atoms:
Hf (0.0302, 0.8655, 0.5909)  3 C 2.29-2.31
Hf (0.1345, 0.9698, 0.9091)  3 C 2.29-2.31
Hf (0.8655, 0.0302, 0.0909)  3 C 2.29-2.31
Hf (0.9698, 0.1345, 0.4091)  3 C 2.29-2.31
Ta (0.1937, 0.3583, 0.0808)  3 C 2.23-2.24
Ta (0.3040, 0.4751, 0.4191)  3 C 2.23-2.25
Ta (0.3583, 0.1937, 0.5808)  3 C 2.23-2.24
Ta (0.4751, 0.3040, 0.9191)  3 C 2.23-2.25
Ta (0.5249, 0.6960, 0.0809)  3 C 2.23-2.25
Ta (0.6417, 0.8063, 0.4192)  3 C 2.23-2.24
Ta (0.6960, 0.5249, 0.5809)  3 C 2.23-2.25
Ta (0.8063, 0.6417, 0.9192)  3 C 2.23-2.24
Sb (0.0835, 0.2623, 0.7502)  2 Hf 2.91-2.92, 4 Ta 2.93-2.94
Sb (0.2623, 0.0835, 0.2502)  2 Hf 2.91-2.92, 4 Ta 2.93-2.94
Sb (0.4285, 0.5715, 0.7500)  2 Hf 2.92, 4 Ta 2.94
Sb (0.5715, 0.4285, 0.2500)  2 Hf 2.92, 4 Ta 2.94
Sb (0.7377, 0.9165, 0.7498)  2 Hf 2.91-2.92, 4 Ta 2.93-2.94
Sb (0.9165, 0.7377, 0.2498)  2 Hf 2.91-2.92, 4 Ta 2.93-2.94
C (0.0000, 0.5000, 0.5000)  4 Ta 2.23, 2 Hf 2.31
C (0.1668, 0.6670, 0.0000)  4 Ta 2.23-2.25, 2 Hf 2.29-2.30
C (0.3330, 0.8332, 0.5000)  4 Ta 2.23-2.25, 2 Hf 2.29-2.30
C (0.5000, 0.0000, 0.0000)  4 Ta 2.23, 2 Hf 2.31
C (0.6670, 0.1668, 0.5000)  4 Ta 2.23-2.25, 2 Hf 2.29-2.30
C (0.8332, 0.3330, 0.0000)  4 Ta 2.23-2.25, 2 Hf 2.29-2.30

Its total DFT energy (no corrections) is -0.6924 Ry/atom. As for the volume: 16.45 Å³ per atom. Its space group is No. 15.

Density functional theory data (PBE) for KCuTePd after structural relaxation.

Cell lengths 4.9218, 4.9218, 4.9218 Å; angles 60.00, 60.00, 60.00 degrees
Closest atoms and distances in Å follow each position.
Fractional coordinates of all 4 atoms:
K (0.0000, 0.0000, 0.0000)  4 Cu 3.01, 4 Pd 3.01
Cu (0.7500, 0.7500, 0.7500)  4 K 3.01, 4 Te 3.01
Te (0.5000, 0.5000, 0.5000)  4 Cu 3.01, 4 Pd 3.01
Pd (0.2500, 0.2500, 0.2500)  4 K 3.01, 4 Te 3.01

Its total DFT energy (no corrections) is -0.2381 Ry/atom. As for the volume: 21.08 Å³ per atom. Its space group is No. 216. The offset from the most stable computed form comes out at 0.0 meV per atom.

Density functional theory data (PBE) for DyErAg2Bi4 after structural relaxation.

Cell lengths 4.5298, 4.5298, 10.2291 Å; angles 90.00, 90.00, 90.00 degrees
Closest atoms and distances in Å follow each position.
Fractional coordinates of all 8 atoms:
Dy (0.0000, 0.0000, 0.0000)  8 Bi 3.26-3.41, 4 Ag 3.44
Er (0.5000, 0.5000, 0.4963)  8 Bi 3.26-3.40, 4 Ag 3.42
Ag (0.0000, 0.5000, 0.7474)  4 Bi 3.00, 4 Ag 3.20
Ag (0.5000, 0.0000, 0.7474)  4 Bi 3.00, 4 Ag 3.20
Bi (0.0000, 0.0000, 0.5551)  4 Ag 3.00, 4 Er 3.26
Bi (0.0000, 0.5000, 0.2489)  4 Bi 3.20, 2 Er 3.40, 2 Dy 3.41
Bi (0.5000, 0.0000, 0.2489)  4 Bi 3.20, 2 Er 3.40, 2 Dy 3.41
Bi (0.5000, 0.5000, 0.9402)  4 Ag 3.00, 4 Dy 3.26

Its total DFT energy (no corrections) is -0.3164 Ry/atom. As for the volume: 26.24 Å³ per atom. Its space group is No. 99.